## w
Entry from Alexandria via LeMat-Bulk: a geometry-optimized In3HgBr3 structure (PBE-GGA).

Values from the calculation:
SG: No. 223
DOS(E_F): 0.0 states/eV per cell
theoretical density: 3.54 g/cm³
volume: 52.6 Å³ per atom
total moment: 0.000 μB/atom

abc: 9.033 9.033 9.033
angles: 90.00 90.00 90.00
Positions (direct):
Hg: 0.500 0.500 0.500
In: 0.000 0.500 0.250
Hg: 0.000 0.000 0.000
Br: 0.750 0.500 0.000
Br: 0.500 0.000 0.250
Br: 0.000 0.750 0.500
In: 0.500 0.250 0.000
Br: 0.500 0.000 0.750
Br: 0.250 0.500 0.000
Br: 0.000 0.250 0.500
In: 0.000 0.500 0.750
In: 0.750 0.000 0.500
In: 0.500 0.750 0.000
In: 0.250 0.000 0.500

***

## x
Entry from Alexandria via LeMat-Bulk: a geometry-optimized In3HgBr3 structure (PBE-GGA).

Values from the calculation:
SG: No. 2
theoretical density: 5.09 g/cm³
volume: 36.6 Å³ per atom
total moment: 0.000 μB/atom

abc: 8.482 8.486 8.493
angles: 68.78 68.88 68.80
Positions (direct):
Br: 0.111 0.828 0.354
In: 0.731 0.059 0.436
Hg: 0.665 0.665 0.665
In: 0.269 0.941 0.564
Br: 0.646 0.889 0.172
In: 0.436 0.731 0.059
Br: 0.828 0.354 0.111
Hg: 0.335 0.335 0.335
Br: 0.172 0.646 0.889
In: 0.941 0.564 0.269
In: 0.564 0.269 0.941
Br: 0.889 0.172 0.646
In: 0.059 0.436 0.731
Br: 0.354 0.111 0.828

***

Which structure loses on stability? w does.

***

## w
Entry from Alexandria via LeMat-Bulk: a geometry-optimized InHg2Br6 structure (PBE-GGA).

Values from the calculation:
SG: No. 12
DOS(E_F): 5.1 states/eV per cell
theoretical density: 5.44 g/cm³
volume: 33.8 Å³ per atom
total moment: 0.000 μB/atom

abc: 4.100 6.980 12.155
angles: 112.78 90.00 107.08
Positions (direct):
Br: 0.343 0.685 0.922
Br: 0.001 0.002 0.721
Br: 0.344 0.689 0.433
In: 0.000 0.000 0.500
Hg: 0.321 0.643 0.155
Br: 0.656 0.311 0.567
Br: 0.999 0.998 0.279
Hg: 0.678 0.357 0.845
Br: 0.657 0.315 0.078

***

## x
Entry from Alexandria via LeMat-Bulk: a geometry-optimized InHg2Br6 structure (PBE-GGA).

Values from the calculation:
SG: No. 15
DOS(E_F): 4.6 states/eV per cell
theoretical density: 4.98 g/cm³
volume: 36.9 Å³ per atom
total moment: 0.000 μB/atom

abc: 7.629 9.403 9.403
angles: 85.62 83.01 83.01
Positions (direct):
Br: 0.373 0.377 0.877
Br: 0.100 0.819 0.953
Hg: 0.674 0.764 0.602
Br: 0.360 0.714 0.528
Br: 0.873 0.877 0.377
Br: 0.127 0.123 0.623
Br: 0.900 0.181 0.047
Br: 0.627 0.623 0.123
Br: 0.400 0.047 0.181
In: 0.750 0.892 0.108
Br: 0.140 0.472 0.286
Br: 0.640 0.286 0.472
Br: 0.600 0.953 0.819
Br: 0.860 0.528 0.714
In: 0.250 0.108 0.892
Hg: 0.174 0.602 0.764
Hg: 0.826 0.398 0.236
Hg: 0.326 0.236 0.398

***

Which structure loses on stability? w does.

***

## w
Entry from Alexandria via LeMat-Bulk: a geometry-optimized InHg2Br2 structure (PBE-GGA).

Values from the calculation:
SG: No. 139
DOS(E_F): 1.7 states/eV per cell
theoretical density: 6.82 g/cm³
volume: 32.9 Å³ per atom
total moment: 0.000 μB/atom

abc: 6.158 6.158 6.149
angles: 59.95 59.95 90.00
Positions (direct):
Hg: 0.657 0.657 0.685
Hg: 0.343 0.343 0.315
In: 0.000 0.000 0.000
Br: 0.750 0.250 0.500
Br: 0.250 0.750 0.500

***

## x
Entry from Alexandria via LeMat-Bulk: a geometry-optimized InHg2Br2 structure (PBE-GGA).

Values from the calculation:
SG: No. 127
DOS(E_F): 6.1 states/eV per cell
theoretical density: 7.17 g/cm³
volume: 31.3 Å³ per atom
total moment: 0.000 μB/atom

abc: 8.130 8.130 4.734
angles: 90.00 90.00 90.00
Positions (direct):
Br: 0.217 0.717 0.500
Br: 0.717 0.783 0.500
Br: 0.783 0.283 0.500
Hg: 0.621 0.121 0.000
In: 0.000 0.000 0.000
In: 0.500 0.500 0.000
Br: 0.283 0.217 0.500
Hg: 0.879 0.621 0.000
Hg: 0.121 0.379 0.000
Hg: 0.379 0.879 0.000

***

Which structure loses on stability? x does.

***

## w
Entry from Alexandria via LeMat-Bulk: a geometry-optimized Na2InHgBr6 structure (PBE-GGA).

Values from the calculation:
SG: No. 225
DOS(E_F): 0.7 states/eV per cell
theoretical density: 3.94 g/cm³
volume: 35.5 Å³ per atom
total moment: 0.000 μB/atom

abc: 7.946 7.946 7.946
angles: 60.00 60.00 60.00
Positions (direct):
Br: 0.244 0.244 0.756
Br: 0.756 0.756 0.244
Br: 0.244 0.756 0.756
Br: 0.756 0.244 0.244
Hg: 0.500 0.500 0.500
Na: 0.750 0.750 0.750
Br: 0.244 0.756 0.244
In: 0.000 0.000 0.000
Br: 0.756 0.244 0.756
Na: 0.250 0.250 0.250

***

## x
Entry from Alexandria via LeMat-Bulk: a geometry-optimized Na2InHgBr6 structure (PBE-GGA).

Values from the calculation:
SG: No. 146
DOS(E_F): 3.0 states/eV per cell
theoretical density: 4.35 g/cm³
volume: 32.1 Å³ per atom
total moment: 0.000 μB/atom

abc: 7.427 7.425 7.970
angles: 62.23 62.23 59.97
Positions (direct):
Na: 0.521 0.521 0.436
Br: 0.577 0.216 0.246
Br: 0.422 0.700 0.767
Br: 0.961 0.577 0.246
Hg: 0.817 0.817 0.550
Br: 0.111 0.422 0.767
Br: 0.217 0.960 0.246
Na: 0.012 0.012 0.964
In: 0.325 0.325 0.025
Br: 0.699 0.112 0.767

***

Which structure loses on stability? w does.